No. 1
Entry from OQMD: a geometry-optimized CoNiP2 structure (GGA-PBE).

Values from the calculation:
- Symmetry: P6_3/mmc (194)
- Total moment: 0.00 μB per atom
- Final energy: -50.0 eV for the cell shown
- Calculated volume: 97.98 Å³/cell

```
data_CoNiP2
_cell_length_a 3.375
_cell_length_b 3.375
_cell_length_c 9.930
_cell_angle_alpha 90.00
_cell_angle_beta 90.00
_cell_angle_gamma 120.00
_symmetry_space_group_name_H-M 'P 1'
_symmetry_Int_Tables_number 1
_symmetry_space_group_name_Hall 'P 1'
loop_
_atom_site_label
_atom_site_type_symbol
_atom_site_fract_x
_atom_site_fract_y
_atom_site_fract_z
Co1 Co 0.000 0.000 0.250
Co2 Co 0.000 0.000 0.750
Ni1 Ni 0.000 0.000 0.000
Ni2 Ni 0.000 0.000 0.500
P1 P 0.333 0.667 0.129
P2 P 0.333 0.667 0.371
P3 P 0.667 0.333 0.629
P4 P 0.667 0.333 0.871
```

=====

No. 2
Entry from OQMD: a geometry-optimized Gd3Mg3Al2Pt structure (GGA-PBE).

Values from the calculation:
- Symmetry: P-62m (189)
- Total moment: 0.00 μB per atom
- Final energy: -36.8 eV for the cell shown
- Calculated volume: 210.80 Å³/cell

```
data_Gd3Mg3Al2Pt
_cell_length_a 7.416
_cell_length_b 7.416
_cell_length_c 4.425
_cell_angle_alpha 90.00
_cell_angle_beta 90.00
_cell_angle_gamma 120.00
_symmetry_space_group_name_H-M 'P 1'
_symmetry_Int_Tables_number 1
_symmetry_space_group_name_Hall 'P 1'
loop_
_atom_site_label
_atom_site_type_symbol
_atom_site_fract_x
_atom_site_fract_y
_atom_site_fract_z
Gd1 Gd 0.000 0.594 0.000
Gd2 Gd 0.406 0.406 0.000
Gd3 Gd 0.594 0.000 0.000
Mg1 Mg 0.000 0.236 0.500
Mg2 Mg 0.236 0.000 0.500
Mg3 Mg 0.764 0.764 0.500
Al1 Al 0.333 0.667 0.500
Al2 Al 0.667 0.333 0.500
Pt1 Pt 0.000 0.000 0.000
```

=====

No. 3
Entry from OQMD: a geometry-optimized TmSi4Ni6 structure (GGA-PBE).

Values from the calculation:
- Symmetry: P-6m2 (187)
- Total moment: 0.00 μB per atom
- Final energy: -67.3 eV for the cell shown
- Calculated volume: 138.24 Å³/cell

```
data_TmSi4Ni6
_cell_length_a 6.600
_cell_length_b 6.600
_cell_length_c 3.664
_cell_angle_alpha 90.00
_cell_angle_beta 90.00
_cell_angle_gamma 120.00
_symmetry_space_group_name_H-M 'P 1'
_symmetry_Int_Tables_number 1
_symmetry_space_group_name_Hall 'P 1'
loop_
_atom_site_label
_atom_site_type_symbol
_atom_site_fract_x
_atom_site_fract_y
_atom_site_fract_z
Tm1 Tm 0.000 0.000 0.000
Si1 Si 0.333 0.667 0.000
Si2 Si 0.390 0.195 0.500
Si3 Si 0.805 0.195 0.500
Si4 Si 0.805 0.610 0.500
Ni1 Ni 0.204 0.407 0.500
Ni2 Ni 0.204 0.796 0.500
Ni3 Ni 0.535 0.070 0.000
Ni4 Ni 0.535 0.465 0.000
Ni5 Ni 0.593 0.796 0.500
Ni6 Ni 0.930 0.465 0.000
```